{"formula": "Ac3MoO6F2", "functional": "GGA+U", "state": "optimized geometry", "total_energy_ev_per_atom": -7.238, "mass_density_g_cm3": 6.83, "spacegroup": "C2/m, No. 12", "lattice_angstrom": [[6.106, -3.509, 0.000], [6.106, 3.509, 0.000], [-0.342, 0.000, 5.166]], "species": ["Ac", "Ac", "Ac", "Mo", "O", "O", "O", "O", "O", "O", "F", "F"], "frac_coords": [[0.000, 0.000, 0.000], [0.000, 0.500, 0.500], [0.500, 0.000, 0.500], [0.500, 0.500, 0.500], [0.205, 0.661, 0.705], [0.339, 0.795, 0.295], [0.357, 0.357, 0.305], [0.643, 0.643, 0.695], [0.661, 0.205, 0.705], [0.795, 0.339, 0.295], [0.182, 0.182, 0.801], [0.818, 0.818, 0.199]]}